(1)
A relaxed structure of RbTl2Sb2, computed with GGA-PBE.

Results
Total magnetic moment, μB/cell: 0.0
Relative energy among the computed polymorphs, eV per formula unit: 0.47

The structure in POSCAR format:
```
RbTl2Sb2
1.0
9.699 0.000 0.000
0.000 9.699 0.000
0.000 0.000 3.576
Rb Tl Sb
2 4 4
direct
0.000 0.000 0.000
0.500 0.500 0.000
0.128 0.372 0.000
0.372 0.872 0.000
0.628 0.128 0.000
0.872 0.628 0.000
0.167 0.667 0.500
0.333 0.167 0.500
0.667 0.833 0.500
0.833 0.333 0.500
```


(2)
A relaxed structure of Tb2Er3ThTe6, computed with GGA-PBE.

Results
Total magnetic moment, μB/cell: 0.0
Total energy, eV per atom: -5.307

The structure in POSCAR format:
```
Tb2Er3ThTe6
1.0
9.697 -2.142 0.000
9.697 2.142 0.000
-2.548 0.000 8.513
Tb Er Th Te
2 3 1 6
direct
0.157 0.157 0.311
0.843 0.843 0.689
0.162 0.162 0.823
0.500 0.500 0.500
0.838 0.838 0.177
0.500 0.500 0.000
0.003 0.003 0.739
0.327 0.327 0.927
0.330 0.330 0.423
0.670 0.670 0.577
0.673 0.673 0.073
0.997 0.997 0.261
```